Below is a relaxed K3Pm3FeO8 crystal, with properties calculated at the GGA+U level.

POSCAR file:
```
K3Pm3FeO8
1.0
6.9710 0.0000 0.0000
-3.4855 6.0367 -0.0232
0.0000 -4.0017 6.3081
K Pm Fe O
3 3 1 8
Direct
0.0000 0.0000 0.0000
0.0000 0.5000 0.0000
0.5000 0.5000 0.0000
0.5000 0.0000 0.5000
0.5000 0.5000 0.5000
0.0000 0.5000 0.5000
0.0000 0.0000 0.5000
0.2701 0.5402 0.3104
0.7299 0.4598 0.6896
0.7945 0.5891 0.3272
0.2055 0.4109 0.6728
0.7945 0.0326 0.3271
0.2055 0.9674 0.6729
0.2382 0.0326 0.3271
0.7618 0.9674 0.6729
```

## Properties
total energy: -97.17 eV/cell
ρ: 4.62 g/cm³
crystal system: trigonal